VASP calculation (PBE-GGA) on an optimized crystal structure of YEr2Al9.

Results
Volume ... 19.17 Å³ per atom
DOS(E_F) ... 11.6 states/eV/cell
Uncorrected energy ... -4.532 eV/atom
Theoretical density ... 4.81 g cm⁻³
Space-group type ... No. 187

a = 6.0968 Å, b = 6.0968 Å, c = 28.5914 Å
α = 90.00°, β = 90.00°, γ = 120.00°
Last column: nearest neighbours and their distance in Å.
Atoms (fractional coordinates):
Y 0.0000 0.0000 0.0000  12 Al 2.97-3.05
Y 0.0000 0.0000 0.3330  12 Al 2.97-3.05
Y 0.0000 0.0000 0.6670  12 Al 2.97-3.05
Y 0.6667 0.3333 0.5000  12 Al 2.97-3.05
Er 0.3333 0.6667 0.0834  12 Al 3.05-3.06
Er 0.3333 0.6667 0.2499  12 Al 3.05-3.06
Er 0.3333 0.6667 0.4166  12 Al 3.05-3.06
Er 0.3333 0.6667 0.5834  12 Al 3.05-3.06
Er 0.3333 0.6667 0.7501  12 Al 3.05-3.06
Er 0.3333 0.6667 0.9166  12 Al 3.05-3.06
Er 0.6667 0.3333 0.1666  12 Al 2.95-3.05
Er 0.6667 0.3333 0.8334  12 Al 2.95-3.05
Al 0.1513 0.3027 0.1666  6 Al 2.77-2.91, 4 Er 3.05-3.06
Al 0.1514 0.3027 0.5000  6 Al 2.77-2.92, 2 Y 3.05, 2 Er 3.06
Al 0.1513 0.3027 0.8334  6 Al 2.77-2.91, 4 Er 3.05-3.06
Al 0.1513 0.8487 0.1666  6 Al 2.77-2.91, 4 Er 3.05-3.06
Al 0.1514 0.8486 0.5000  6 Al 2.77-2.92, 2 Y 3.05, 2 Er 3.06
Al 0.1513 0.8487 0.8334  6 Al 2.77-2.91, 4 Er 3.05-3.06
Al 0.3331 0.1666 0.4166  8 Al 2.92-3.05, 2 Y 2.97, 2 Er 3.05
Al 0.3331 0.1666 0.5834  8 Al 2.92-3.05, 2 Y 2.97, 2 Er 3.05
Al 0.3342 0.1671 0.0836  8 Al 2.91-3.06, 3 Er 2.95-3.05, 1 Y 2.97
Al 0.3342 0.1671 0.9164  8 Al 2.91-3.06, 3 Er 2.95-3.05, 1 Y 2.97
Al 0.3346 0.1673 0.2496  8 Al 2.91-3.06, 3 Er 2.95-3.05, 1 Y 2.97
Al 0.3346 0.1673 0.7504  8 Al 2.91-3.06, 3 Er 2.95-3.05, 1 Y 2.97
Al 0.5152 0.0305 0.0000  6 Al 2.77-2.92, 2 Y 3.05, 2 Er 3.06
Al 0.5153 0.0306 0.3332  6 Al 2.77-2.92, 2 Y 3.05, 2 Er 3.06
Al 0.5153 0.0306 0.6668  6 Al 2.77-2.92, 2 Y 3.05, 2 Er 3.06
Al 0.5152 0.4848 0.0000  6 Al 2.77-2.92, 2 Y 3.05, 2 Er 3.06
Al 0.5153 0.4847 0.3332  6 Al 2.77-2.92, 2 Y 3.05, 2 Er 3.06
Al 0.5153 0.4847 0.6668  6 Al 2.77-2.92, 2 Y 3.05, 2 Er 3.06
Al 0.6973 0.8487 0.1666  6 Al 2.77-2.91, 4 Er 3.05-3.06
Al 0.6973 0.8486 0.5000  6 Al 2.77-2.92, 2 Y 3.05, 2 Er 3.06
Al 0.6973 0.8487 0.8334  6 Al 2.77-2.91, 4 Er 3.05-3.06
Al 0.8329 0.1671 0.0836  8 Al 2.91-3.06, 3 Er 2.95-3.05, 1 Y 2.97
Al 0.8327 0.1673 0.2496  8 Al 2.91-3.06, 3 Er 2.95-3.05, 1 Y 2.97
Al 0.8334 0.1666 0.4166  8 Al 2.92-3.05, 2 Y 2.97, 2 Er 3.05
Al 0.8334 0.1666 0.5834  8 Al 2.92-3.05, 2 Y 2.97, 2 Er 3.05
Al 0.8327 0.1673 0.7504  8 Al 2.91-3.06, 3 Er 2.95-3.05, 1 Y 2.97
Al 0.8329 0.1671 0.9164  8 Al 2.91-3.06, 3 Er 2.95-3.05, 1 Y 2.97
Al 0.8327 0.6654 0.2496  8 Al 2.91-3.06, 3 Er 2.95-3.05, 1 Y 2.97
Al 0.8327 0.6654 0.7504  8 Al 2.91-3.06, 3 Er 2.95-3.05, 1 Y 2.97
Al 0.8329 0.6658 0.0836  8 Al 2.91-3.06, 3 Er 2.95-3.05, 1 Y 2.97
Al 0.8329 0.6658 0.9164  8 Al 2.91-3.06, 3 Er 2.95-3.05, 1 Y 2.97
Al 0.8334 0.6669 0.4166  8 Al 2.92-3.05, 2 Y 2.97, 2 Er 3.05
Al 0.8334 0.6669 0.5834  8 Al 2.92-3.05, 2 Y 2.97, 2 Er 3.05
Al 0.9694 0.4847 0.3332  6 Al 2.77-2.92, 2 Y 3.05, 2 Er 3.06
Al 0.9694 0.4847 0.6668  6 Al 2.77-2.92, 2 Y 3.05, 2 Er 3.06
Al 0.9695 0.4848 0.0000  6 Al 2.77-2.92, 2 Y 3.05, 2 Er 3.06